Below is a geometry-optimized KCa3As structure, with properties calculated at the PBE-GGA level.

Lattice parameters (Å, degrees): 5.876 5.876 5.876 90.00 90.00 90.00
Each line ends with the local moment (μB).
Positions (direct):
Ca1 0.500 0.000 0.000  0.08
Ca2 0.000 0.500 0.000  0.07
Ca3 0.000 0.000 0.500  0.06
As1 0.000 0.000 0.000  0.04
K1 0.500 0.500 0.500  0.03

Computed properties:
Formation energy (eV per formula unit): -2.0
Relative energy among the computed polymorphs (eV/f.u.): 0.00
Space-group type: Pm-3m, No. 221

---

Below is a geometry-optimized ErPuZr structure, with properties calculated at the PBE-GGA level.

Lattice parameters (Å, degrees): 5.947 5.947 6.025 98.48 98.48 134.52
Each line ends with the local moment (μB).
Positions (direct):
Er1 0.354 0.646 0.000  -0.02
Er2 0.646 0.354 0.000  -0.02
Pu1 0.250 0.750 0.500  -0.83
Pu2 0.750 0.250 0.500  -0.83
Zr1 0.162 0.162 0.324  0.02
Zr2 0.838 0.838 0.676  0.02

Computed properties:
Formation energy (eV per formula unit): 1.2
Relative energy among the computed polymorphs (eV/f.u.): 0.84
Space-group type: Fmmm, No. 69

---

Below is a geometry-optimized AcLa5Tb2Ho structure, with properties calculated at the PBE-GGA level.

Lattice parameters (Å, degrees): 9.502 9.502 9.991 118.39 118.39 90.00
Positions (direct):
Tb1 0.890 0.610 0.000
Tb2 0.110 0.390 0.000
Tb3 0.390 0.890 0.000
Tb4 0.610 0.110 0.000
La1 0.828 0.930 0.258
La2 0.930 0.430 0.258
La3 0.000 0.000 0.000
La4 0.328 0.828 0.258
La5 0.070 0.570 0.742
La6 0.672 0.172 0.742
La7 0.172 0.070 0.742
La8 0.430 0.328 0.258
La9 0.500 0.500 0.000
La10 0.570 0.672 0.742
Ac1 0.250 0.250 0.500
Ac2 0.750 0.750 0.500
Ho1 0.750 0.250 0.500
Ho2 0.250 0.750 0.500

Computed properties:
Formation energy (eV per formula unit): 2.4
Space-group type: I4/mcm, No. 140

---

Below is a geometry-optimized La2TiP structure, with properties calculated at the PBE-GGA level.

Lattice parameters (Å, degrees): 10.341 10.341 7.682 47.69 47.69 90.00
Each line ends with the local moment (μB).
Positions (direct):
La1 0.375 0.517 0.750  0.01
La2 0.267 0.625 0.250  0.01
La3 0.483 0.125 0.250  0.01
La4 0.875 0.733 0.750  0.01
P1 0.250 0.750 0.500  -0.03
P2 0.500 0.500 0.000  -0.03
Ti1 0.000 0.000 0.000  0.80
Ti2 0.750 0.250 0.500  0.79

Computed properties:
Formation energy (eV per formula unit): -1.1
Space-group type: I-42d, No. 122

---

Below is a geometry-optimized Pr4OsS2Br structure, with properties calculated at the PBE-GGA level.

Lattice parameters (Å, degrees): 4.077 7.312 7.478 72.62 90.00 90.00
Positions (direct):
S1 0.500 0.000 0.500
S2 0.000 0.000 0.000
Pr1 0.500 0.748 0.270
Pr2 0.000 0.762 0.716
Pr3 0.000 0.238 0.284
Pr4 0.500 0.252 0.730
Os1 0.000 0.500 0.500
Br1 0.500 0.500 0.000

Computed properties:
Space-group type: P2/m, No. 10

---

Below is a geometry-optimized TlRe4Si structure, with properties calculated at the PBE-GGA level.

Lattice parameters (Å, degrees): 5.277 5.277 5.277 60.00 60.00 60.00
Positions (direct):
Re1 0.375 0.375 0.375
Re2 0.375 0.874 0.375
Re3 0.874 0.375 0.375
Re4 0.375 0.375 0.874
Si1 0.750 0.750 0.750
Tl1 0.000 0.000 0.000

Computed properties:
Space-group type: F-43m, No. 216

---

Below is a geometry-optimized La2TbPr2Y structure, with properties calculated at the PBE-GGA level.

Lattice parameters (Å, degrees): 5.800 7.179 10.053 90.00 90.00 90.00
Positions (direct):
La1 0.000 0.258 0.175
La2 0.500 0.008 0.001
La3 0.000 0.758 0.825
La4 0.500 0.508 0.999
Pr1 0.000 0.757 0.164
Pr2 0.500 0.258 0.331
Pr3 0.000 0.257 0.836
Pr4 0.500 0.758 0.669
Y1 0.000 0.007 0.500
Y2 0.000 0.507 0.500
Tb1 0.500 0.257 0.658
Tb2 0.500 0.757 0.342

Computed properties:
Formation energy (eV per formula unit): 0.3
Space-group type: Pmc2_1, No. 26

---

Below is a geometry-optimized LiTe2As2 structure, with properties calculated at the PBE-GGA level.

Lattice parameters (Å, degrees): 8.272 8.272 3.895 90.00 90.00 90.00
Positions (direct):
As1 0.145 0.645 0.500
As2 0.355 0.145 0.500
As3 0.645 0.855 0.500
As4 0.855 0.355 0.500
Li1 0.500 0.500 0.000
Li2 0.000 0.000 0.000
Te1 0.804 0.696 0.000
Te2 0.196 0.304 0.000
Te3 0.304 0.804 0.000
Te4 0.696 0.196 0.000

Computed properties:
Relative energy among the computed polymorphs (eV/f.u.): 0.13
Space-group type: P4/mbm, No. 127

---

Below is a geometry-optimized CrSn structure, with properties calculated at the PBE-GGA level.

Lattice parameters (Å, degrees): 5.668 5.668 5.242 90.00 90.00 90.00
Each line ends with the local moment (μB).
Positions (direct):
Sn1 0.312 0.688 0.500  -0.02
Sn2 0.188 0.188 0.000  -0.02
Sn3 0.812 0.812 0.000  -0.02
Sn4 0.688 0.312 0.500  -0.02
Cr1 0.873 0.873 0.500  0.72
Cr2 0.127 0.127 0.500  0.72
Cr3 0.627 0.373 0.000  0.72
Cr4 0.373 0.627 0.000  0.72

Computed properties:
Formation energy (eV per formula unit): 1.6
Space-group type: P4_2/mnm, No. 136

---

Below is a geometry-optimized ScS5Br structure, with properties calculated at the PBE-GGA level.

Lattice parameters (Å, degrees): 3.967 4.549 12.357 111.66 100.13 90.10
Positions (direct):
S1 0.397 0.170 0.729
S2 0.425 0.675 0.777
S3 0.230 0.223 0.137
S4 0.964 0.951 0.203
S5 0.892 0.494 0.071
Sc1 0.852 0.354 0.645
Br1 0.771 0.664 0.499

Computed properties:
Space-group type: P1, No. 1

---

Below is a geometry-optimized Sc6NiTe2 structure, with properties calculated at the PBE-GGA level.

Lattice parameters (Å, degrees): 7.791 7.791 3.735 90.00 90.00 120.00
Positions (direct):
Sc1 0.239 0.000 0.500
Sc2 0.000 0.607 0.000
Sc3 0.000 0.239 0.500
Sc4 0.761 0.761 0.500
Sc5 0.607 0.000 0.000
Sc6 0.393 0.393 0.000
Te1 0.667 0.333 0.500
Te2 0.333 0.667 0.500
Ni1 0.000 0.000 0.000

Computed properties:
Relative energy among the computed polymorphs (eV/f.u.): 0.00
Space-group type: P-62m, No. 189

---

Below is a geometry-optimized Tb4GeAs2Se structure, with properties calculated at the PBE-GGA level.

Lattice parameters (Å, degrees): 4.122 7.178 7.187 70.75 90.00 90.00
Positions (direct):
Tb1 0.500 0.752 0.252
Tb2 0.000 0.755 0.742
Tb3 0.500 0.248 0.748
Tb4 0.000 0.245 0.258
Se1 0.500 0.500 0.000
As1 0.000 0.000 0.000
As2 0.500 0.000 0.500
Ge1 0.000 0.500 0.500

Computed properties:
Space-group type: P2/m, No. 10

---

Quick rundown of raw total energy, same order as above: -2.7601, -8.7443, -4.4676, -6.0696, -6.2665, -8.6982, -5.0384, -3.5290, -6.0198, -4.6968, -6.2510, -5.9648 eV per atom
Quick rundown of V, same order as above: 202.86, 140.41, 667.58, 251.69, 212.74, 103.93, 418.60, 266.51, 168.39, 203.46, 196.33, 200.74 Å³ per cell